(A)
Computed, not measured: a relaxed SrLaOF2 crystal at the PBE level of DFT.

The density of states at the Fermi level comes out at 1.31 states/eV/cell.

Cell lengths 4.8919, 4.8919, 4.5653 Å; angles 90.00, 90.00, 90.00 degrees
With the nearest neighbours (Å) after each atom.
Space group P4/mmm (No. 123)
One atom of each set of equivalent atoms:
Sr 0.0000 0.0000 0.0000  8 F 3.35, 4 O 3.46
La 0.5000 0.5000 0.5000  2 O 2.28, 4 F 2.45
O 0.5000 0.5000 0.0000  2 La 2.28
F 0.0000 0.5000 0.5000  2 La 2.45

---

(B)
Computed, not measured: a relaxed SrLaOF2 crystal at the PBE level of DFT.

The density of states at the Fermi level comes out at 5.48 states/eV/cell.

Cell lengths 4.5346, 4.5346, 4.8356 Å; angles 90.00, 90.00, 90.00 degrees
With the nearest neighbours (Å) after each atom.
Space group P4/mmm (No. 123)
One atom of each set of equivalent atoms:
Sr 0.0000 0.0000 0.0000  4 F 2.27, 2 O 2.42
La 0.5000 0.5000 0.5000  4 O 3.21, 8 F 3.31
O 0.0000 0.0000 0.5000  2 Sr 2.42
F 0.0000 0.5000 0.0000  2 Sr 2.27

---

Last place for stability: (B)

---

(A)
Computed, not measured: a relaxed LaTeOF2 crystal at the PBE level of DFT.

The density of states at the Fermi level comes out at 3.99 states/eV/cell.

Cell lengths 4.6224, 4.6224, 4.9002 Å; angles 90.00, 90.00, 90.00 degrees
With the nearest neighbours (Å) after each atom.
Space group P4/mmm (No. 123)
One atom of each set of equivalent atoms:
La 0.0000 0.0000 0.0000  4 F 2.31, 2 O 2.45
Te 0.5000 0.5000 0.5000  4 O 3.27, 8 F 3.37
O 0.0000 0.0000 0.5000  2 La 2.45
F 0.0000 0.5000 0.0000  2 La 2.31

---

(B)
Computed, not measured: a relaxed LaTeOF2 crystal at the PBE level of DFT.

The density of states at the Fermi level comes out at 4.20 states/eV/cell.

Cell lengths 4.9275, 4.9275, 4.1514 Å; angles 90.00, 90.00, 90.00 degrees
With the nearest neighbours (Å) after each atom.
Space group P4/mmm (No. 123)
One atom of each set of equivalent atoms:
La 0.0000 0.0000 0.0000  8 F 3.22, 4 O 3.48
Te 0.5000 0.5000 0.5000  2 O 2.08
O 0.5000 0.5000 0.0000  2 Te 2.08
F 0.0000 0.5000 0.5000  2 Te 2.46

---

Last place for stability: (B)